(1)
MnGaTcAu after structural relaxation. Source: the Alexandria database, functional GGA-PBE.

Geometry as CIF:
```
data_MnGaTcAu
_chemical_formula_sum 'Mn4 Ga4 Tc4 Au4'
_cell_length_a 6.222
_cell_length_b 6.222
_cell_length_c 6.222
_cell_angle_alpha 90.00
_cell_angle_beta 90.00
_cell_angle_gamma 90.00
_symmetry_space_group_name_H-M 'F -4 3 m'
_symmetry_Int_Tables_number 216
_symmetry_space_group_name_Hall 'F -4 2 3'
loop_
_atom_site_label
_atom_site_type_symbol
_atom_site_fract_x
_atom_site_fract_y
_atom_site_fract_z
_atom_site_occupancy
Mn1 Mn 0.000 0.000 0.000 1
Ga1 Ga 0.000 0.000 0.500 1
Tc1 Tc 0.250 0.250 0.250 1
Au1 Au 0.250 0.250 0.750 1
```

Output
- Formation energy from the elements: 20 kJ/mol of formula units

---

(2)
Ba2PtRh after structural relaxation. Source: the Alexandria database, functional GGA-PBE.

Geometry as CIF:
```
data_Ba2PtRh
_chemical_formula_sum 'Ba8 Pt4 Rh4'
_cell_length_a 8.316
_cell_length_b 8.316
_cell_length_c 6.720
_cell_angle_alpha 90.00
_cell_angle_beta 90.00
_cell_angle_gamma 90.00
_symmetry_space_group_name_H-M 'I -4 2 d'
_symmetry_Int_Tables_number 122
_symmetry_space_group_name_Hall 'I -4 2bw'
loop_
_atom_site_label
_atom_site_type_symbol
_atom_site_fract_x
_atom_site_fract_y
_atom_site_fract_z
_atom_site_occupancy
Ba1 Ba 0.236 0.250 0.125 1
Pt1 Pt 0.000 0.000 0.500 1
Rh1 Rh 0.000 0.000 0.000 1
```

Output
- Formation energy from the elements: -19 kJ/mol of formula units

---

(3)
La4Nd3Tl4 after structural relaxation. Source: the Alexandria database, functional GGA-PBE.

Geometry as CIF:
```
data_La4Nd3Tl4
_chemical_formula_sum 'La8 Nd6 Tl8'
_cell_length_a 3.787
_cell_length_b 9.624
_cell_length_c 20.037
_cell_angle_alpha 90.00
_cell_angle_beta 90.00
_cell_angle_gamma 90.00
_symmetry_space_group_name_H-M 'I m m m'
_symmetry_Int_Tables_number 71
_symmetry_space_group_name_Hall '-I 2 2'
loop_
_atom_site_label
_atom_site_type_symbol
_atom_site_fract_x
_atom_site_fract_y
_atom_site_fract_z
_atom_site_occupancy
La1 La 0.000 0.170 0.164 1
Nd1 Nd 0.000 0.000 0.407 1
Nd2 Nd 0.000 0.500 0.500 1
Tl1 Tl 0.000 0.279 0.000 1
Tl2 Tl 0.000 0.500 0.223 1
```

Output
- Formation energy from the elements: -301 kJ/mol of formula units

---

(4)
LaTb3Dy2 after structural relaxation. Source: the Alexandria database, functional GGA-PBE.

Geometry as CIF:
```
data_LaTb3Dy2
_chemical_formula_sum 'La4 Tb12 Dy8'
_cell_length_a 3.605
_cell_length_b 18.695
_cell_length_c 11.644
_cell_angle_alpha 90.00
_cell_angle_beta 90.00
_cell_angle_gamma 90.00
_symmetry_space_group_name_H-M 'C m c m'
_symmetry_Int_Tables_number 63
_symmetry_space_group_name_Hall '-C 2c 2'
loop_
_atom_site_label
_atom_site_type_symbol
_atom_site_fract_x
_atom_site_fract_y
_atom_site_fract_z
_atom_site_occupancy
La1 La 0.000 0.220 0.250 1
Tb1 Tb 0.000 0.109 0.750 1
Tb2 Tb 0.000 0.335 0.003 1
Dy1 Dy 0.000 0.000 0.000 1
Dy2 Dy 0.000 0.447 0.750 1
```

Output
- Formation energy from the elements: 6 kJ/mol of formula units
- Energy relative to the lowest polymorph listed for this composition: 0.0 meV per atom

---

(5)
SmDyY after structural relaxation. Source: the Alexandria database, functional GGA-PBE.

Geometry as CIF:
```
data_SmDyY
_chemical_formula_sum 'Sm2 Dy2 Y2'
_cell_length_a 3.580
_cell_length_b 3.580
_cell_length_c 15.214
_cell_angle_alpha 90.00
_cell_angle_beta 90.00
_cell_angle_gamma 90.00
_symmetry_space_group_name_H-M 'I 4 m m'
_symmetry_Int_Tables_number 107
_symmetry_space_group_name_Hall 'I 4 -2'
loop_
_atom_site_label
_atom_site_type_symbol
_atom_site_fract_x
_atom_site_fract_y
_atom_site_fract_z
_atom_site_occupancy
Sm1 Sm 0.000 0.000 0.000 1
Dy1 Dy 0.000 0.000 0.666 1
Y1 Y 0.000 0.000 0.332 1
```

Output
- Formation energy from the elements: 6 kJ/mol of formula units
- Energy relative to the lowest polymorph listed for this composition: 25.1 meV per atom

---

(6)
P2PbW after structural relaxation. Source: the Alexandria database, functional GGA-PBE.

Geometry as CIF:
```
data_P2PbW
_chemical_formula_sum 'P4 Pb2 W2'
_cell_length_a 8.333
_cell_length_b 3.299
_cell_length_c 6.457
_cell_angle_alpha 90.00
_cell_angle_beta 105.76
_cell_angle_gamma 90.00
_symmetry_space_group_name_H-M 'C 1 m 1'
_symmetry_Int_Tables_number 8
loop_
_symmetry_equiv_pos_as_xyz
'x,y,z'
'x,-y,z'
'x+1/2,y+1/2,z'
'x+1/2,-y+1/2,z'
loop_
_atom_site_label
_atom_site_type_symbol
_atom_site_fract_x
_atom_site_fract_y
_atom_site_fract_z
_atom_site_occupancy
P1 P 0.000 0.000 0.000 1
P2 P 0.149 0.000 0.683 1
Pb1 Pb 0.335 0.000 0.380 1
W1 W 0.203 0.500 0.962 1
```

Output
- Formation energy from the elements: 27 kJ/mol of formula units

---

(7)
MgZrTe2 after structural relaxation. Source: the Alexandria database, functional GGA-PBE.

Geometry as CIF:
```
data_MgZrTe2
_chemical_formula_sum 'Mg4 Zr4 Te8'
_cell_length_a 6.751
_cell_length_b 6.751
_cell_length_c 12.432
_cell_angle_alpha 90.00
_cell_angle_beta 90.00
_cell_angle_gamma 90.00
_symmetry_space_group_name_H-M 'I -4 2 d'
_symmetry_Int_Tables_number 122
_symmetry_space_group_name_Hall 'I -4 2bw'
loop_
_atom_site_label
_atom_site_type_symbol
_atom_site_fract_x
_atom_site_fract_y
_atom_site_fract_z
_atom_site_occupancy
Mg1 Mg 0.000 0.000 0.000 1
Zr1 Zr 0.000 0.000 0.500 1
Te1 Te 0.241 0.250 0.125 1
```

Output
- ΔE_f (raw): -0.3610 eV/atom

---

(8)
Gd2TmPu after structural relaxation. Source: the Alexandria database, functional GGA-PBE.

Geometry as CIF:
```
data_Gd2TmPu
_chemical_formula_sum 'Gd2 Tm1 Pu1'
_cell_length_a 3.516
_cell_length_b 3.516
_cell_length_c 9.943
_cell_angle_alpha 90.00
_cell_angle_beta 90.00
_cell_angle_gamma 90.00
_symmetry_space_group_name_H-M 'P 4/m m m'
_symmetry_Int_Tables_number 123
_symmetry_space_group_name_Hall '-P 4 2'
loop_
_atom_site_label
_atom_site_type_symbol
_atom_site_fract_x
_atom_site_fract_y
_atom_site_fract_z
_atom_site_occupancy
Gd1 Gd 0.000 0.000 0.247 1
Tm1 Tm 0.500 0.500 0.500 1
Pu1 Pu 0.500 0.500 0.000 1
```

Output
- Formation energy from the elements: 44 kJ/mol of formula units
- Energy relative to the lowest polymorph listed for this composition: 0.0 meV per atom

---

(9)
Li7Al2Ag2 after structural relaxation. Source: the Alexandria database, functional GGA-PBE.

Geometry as CIF:
```
data_Li7Al2Ag2
_chemical_formula_sum 'Li14 Al4 Ag4'
_cell_length_a 8.851
_cell_length_b 6.860
_cell_length_c 6.315
_cell_angle_alpha 90.00
_cell_angle_beta 105.06
_cell_angle_gamma 90.00
_symmetry_space_group_name_H-M 'C 1 2/m 1'
_symmetry_Int_Tables_number 12
loop_
_symmetry_equiv_pos_as_xyz
'x,y,z'
'-x,-y,-z'
'-x,y,-z'
'x,-y,z'
'x+1/2,y+1/2,z'
'-x+1/2,-y+1/2,-z'
'-x+1/2,y+1/2,-z'
'x+1/2,-y+1/2,z'
loop_
_atom_site_label
_atom_site_type_symbol
_atom_site_fract_x
_atom_site_fract_y
_atom_site_fract_z
_atom_site_occupancy
Li1 Li 0.000 0.000 0.000 1
Li2 Li 0.209 0.296 0.176 1
Li3 Li 0.231 0.500 0.538 1
Al1 Al 0.000 0.196 0.500 1
Ag1 Ag 0.057 0.500 0.803 1
```

Output
- Formation energy from the elements: -105 kJ/mol of formula units

---

(10)
Ac2GaRhO6 after structural relaxation. Source: the Alexandria database, functional GGA-PBE.

Geometry as CIF:
```
data_Ac2GaRhO6
_chemical_formula_sum 'Ac8 Ga4 Rh4 O24'
_cell_length_a 8.014
_cell_length_b 8.014
_cell_length_c 8.014
_cell_angle_alpha 90.00
_cell_angle_beta 90.00
_cell_angle_gamma 90.00
_symmetry_space_group_name_H-M 'F m -3 m'
_symmetry_Int_Tables_number 225
_symmetry_space_group_name_Hall '-F 4 2 3'
loop_
_atom_site_label
_atom_site_type_symbol
_atom_site_fract_x
_atom_site_fract_y
_atom_site_fract_z
_atom_site_occupancy
Ac1 Ac 0.250 0.250 0.250 1
Ga1 Ga 0.000 0.000 0.000 1
Rh1 Rh 0.000 0.000 0.500 1
O1 O 0.000 0.000 0.245 1
```

Output
- ΔE_f (raw): -2.3119 eV/atom

---

(11)
Li2NdHfS4 after structural relaxation. Source: the Alexandria database, functional GGA-PBE.

Geometry as CIF:
```
data_Li2NdHfS4
_chemical_formula_sum 'Li2 Nd1 Hf1 S4'
_cell_length_a 6.588
_cell_length_b 3.788
_cell_length_c 6.665
_cell_angle_alpha 90.00
_cell_angle_beta 109.32
_cell_angle_gamma 90.00
_symmetry_space_group_name_H-M 'P 1 2/m 1'
_symmetry_Int_Tables_number 10
loop_
_symmetry_equiv_pos_as_xyz
'x,y,z'
'-x,-y,-z'
'-x,y,-z'
'x,-y,z'
loop_
_atom_site_label
_atom_site_type_symbol
_atom_site_fract_x
_atom_site_fract_y
_atom_site_fract_z
_atom_site_occupancy
Li1 Li 0.000 0.000 0.000 1
Li2 Li 0.000 0.500 0.500 1
Nd1 Nd 0.500 0.000 0.500 1
Hf1 Hf 0.500 0.500 0.000 1
S1 S 0.242 0.500 0.222 1
S2 S 0.254 0.000 0.772 1
```

Output
- ΔE_f (raw): -1.5988 eV/atom

---

(12)
IrOsRh5 after structural relaxation. Source: the Alexandria database, functional GGA-PBE.

Geometry as CIF:
```
data_IrOsRh5
_chemical_formula_sum 'Ir2 Os2 Rh10'
_cell_length_a 7.855
_cell_length_b 7.855
_cell_length_c 4.674
_cell_angle_alpha 90.00
_cell_angle_beta 90.00
_cell_angle_gamma 90.00
_symmetry_space_group_name_H-M 'I -4 m 2'
_symmetry_Int_Tables_number 119
_symmetry_space_group_name_Hall 'I -4 -2'
loop_
_atom_site_label
_atom_site_type_symbol
_atom_site_fract_x
_atom_site_fract_y
_atom_site_fract_z
_atom_site_occupancy
Ir1 Ir 0.000 0.000 0.000 1
Os1 Os 0.000 0.500 0.750 1
Rh1 Rh 0.000 0.000 0.500 1
Rh2 Rh 0.000 0.286 0.227 1
```

Output
- Formation energy from the elements: 879 kJ/mol of formula units